(1)
DFT (PBE) results for an optimized crystal structure of PrGd2Tm.

Properties
energy above the most stable polymorph in this dataset: 9 meV per atom

POSCAR file:
```
PrGd2Tm
1.0
3.601 0.000 0.000
0.000 3.601 0.000
0.000 0.000 10.119
Pr Gd Tm
1 2 1
Cartesian
0.000 0.000 0.000
1.801 1.801 2.604
1.801 1.801 7.515
0.000 0.000 5.059
```

(2)
DFT (PBE) results for an optimized crystal structure of CeGdTc.

Properties
energy above the most stable polymorph in this dataset: 0 meV per atom

POSCAR file:
```
CeGdTc
1.0
-1.710 1.710 6.471
1.710 -1.710 6.471
1.710 1.710 -6.471
Ce Gd Tc
1 1 1
Cartesian
0.000 0.000 0.000
0.000 0.000 9.557
0.000 0.000 4.916
```

(3)
DFT (PBE) results for an optimized crystal structure of HoEr4Zn4.

POSCAR file:
```
HoEr4Zn4
1.0
8.918 0.000 0.000
0.000 8.918 0.000
0.000 0.000 5.881
Ho Er Zn
2 8 8
Cartesian
2.230 2.230 1.470
6.689 6.689 4.411
0.568 5.891 0.820
1.431 8.350 3.760
3.028 5.027 3.760
3.891 7.487 0.820
5.027 1.431 5.061
5.891 3.891 2.121
7.487 0.568 2.121
8.350 3.028 5.061
0.197 5.506 3.686
1.047 8.721 0.746
3.412 4.656 0.746
4.262 7.871 3.686
4.656 1.047 2.195
5.506 4.262 5.135
7.871 0.197 5.135
8.721 3.412 2.195
```

(4)
DFT (PBE) results for an optimized crystal structure of La2ZnGePd.

POSCAR file:
```
La2ZnGePd
1.0
4.329 0.000 0.000
0.000 4.329 0.000
0.000 0.000 14.045
La Zn Ge Pd
4 2 2 2
Cartesian
1.082 1.082 1.570
1.082 1.082 9.515
3.247 3.247 4.530
3.247 3.247 12.475
1.082 3.247 7.023
3.247 1.082 7.023
1.082 1.082 12.476
3.247 3.247 1.569
1.082 1.082 5.479
3.247 3.247 8.567
```

(5)
DFT (PBE) results for an optimized crystal structure of TbPr4Sm2.

Properties
energy above the most stable polymorph in this dataset: 52 meV per atom

POSCAR file:
```
TbPr4Sm2
1.0
0.000 12.298 3.277
6.099 0.000 3.277
6.099 12.298 0.000
Tb Pr Sm
2 8 4
Cartesian
0.000 0.000 0.000
3.049 6.149 1.638
2.274 2.618 1.430
5.323 3.531 3.068
3.825 9.680 1.430
6.697 10.573 3.248
5.500 14.023 3.248
8.549 16.722 4.886
6.874 21.065 3.068
9.747 20.172 4.886
6.382 7.015 2.930
8.864 13.164 4.568
5.815 17.581 2.930
3.333 11.432 4.568
```

(6)
DFT (PBE) results for an optimized crystal structure of TlGe2Mo.

Properties
energy above the most stable polymorph in this dataset: 126 meV per atom

POSCAR file:
```
TlGe2Mo
1.0
0.000 3.400 3.400
3.400 0.000 3.400
3.400 3.400 0.000
Tl Ge Mo
1 2 1
Cartesian
0.000 0.000 0.000
1.700 1.700 1.700
5.099 5.099 5.099
3.400 3.400 3.400
```

(7)
DFT (PBE) results for an optimized crystal structure of TbAsPd2.

POSCAR file:
```
TbAsPd2
1.0
4.134 0.000 0.000
0.000 4.597 0.000
-0.245 0.000 4.212
Tb As Pd
1 1 2
Cartesian
0.000 0.000 0.000
1.944 0.000 2.106
0.981 2.298 3.040
2.907 2.298 1.172
```

(8)
DFT (PBE) results for an optimized crystal structure of Pa2Zn3Au2.

Properties
energy above the most stable polymorph in this dataset: 0 meV per atom

POSCAR file:
```
Pa2Zn3Au2
1.0
5.123 -2.292 0.000
5.123 2.292 0.000
-1.292 0.000 6.097
Pa Zn Au
2 3 2
Cartesian
0.381 0.000 2.118
8.573 0.000 3.978
1.416 0.000 5.209
5.123 0.000 0.000
7.539 0.000 0.888
3.337 0.000 1.967
5.617 0.000 4.130
```

(9)
DFT (PBE) results for an optimized crystal structure of Ni3Ir2Pt2.

POSCAR file:
```
Ni3Ir2Pt2
1.0
4.270 -1.902 0.000
4.270 1.902 0.000
-0.769 0.000 5.790
Ni Ir Pt
3 2 2
Cartesian
0.000 0.000 0.000
1.769 0.000 4.957
6.001 0.000 0.833
0.904 0.000 2.483
6.866 0.000 3.307
3.443 0.000 1.546
4.327 0.000 4.244
```

(10)
DFT (PBE) results for an optimized crystal structure of RbErMnBr6.

Properties
ΔE_f (raw): -1.23 eV per atom

POSCAR file:
```
RbErMnBr6
1.0
6.866 0.000 0.000
-3.433 5.946 0.000
0.000 0.000 15.734
Rb Er Mn Br
2 2 2 12
Cartesian
0.000 0.000 0.000
0.000 0.000 7.867
0.000 3.964 3.933
3.433 1.982 11.800
0.000 3.964 11.800
3.433 1.982 3.933
-1.116 2.266 10.281
-2.028 3.846 13.320
1.116 2.266 13.320
-0.912 5.780 10.281
2.521 0.166 2.414
1.405 2.100 5.453
2.028 3.846 10.281
0.912 5.780 13.320
4.345 0.166 5.453
2.317 3.680 2.414
5.461 2.100 2.414
4.549 3.680 5.453
```

(11)
DFT (PBE) results for an optimized crystal structure of LiGaCo2Cl.

Properties
ΔE_f (raw): 0.93 eV per atom

POSCAR file:
```
LiGaCo2Cl
1.0
4.294 0.000 0.000
0.000 4.294 0.000
0.000 0.000 4.520
Li Ga Co Cl
1 1 2 1
Cartesian
0.000 0.000 0.000
0.000 0.000 2.260
0.000 2.147 0.000
2.147 0.000 0.000
2.147 2.147 2.260
```

(12)
DFT (PBE) results for an optimized crystal structure of YB2Pt6.

POSCAR file:
```
YB2Pt6
1.0
0.000 5.346 5.346
5.346 0.000 5.346
5.346 5.346 0.000
Y B Pt
2 4 12
Cartesian
1.336 1.336 1.336
9.355 9.355 9.355
5.346 2.673 2.673
2.673 5.346 2.673
2.673 2.673 5.346
5.346 5.346 5.346
4.009 4.009 1.681
4.009 1.681 4.009
6.338 4.009 4.009
6.682 6.682 4.354
6.682 4.354 6.682
9.011 6.682 6.682
1.681 4.009 4.009
4.009 6.338 4.009
4.009 4.009 6.338
4.354 6.682 6.682
6.682 9.011 6.682
6.682 6.682 9.011
```

(13)
DFT (PBE) results for an optimized crystal structure of HgOsSe.

Properties
energy above the most stable polymorph in this dataset: 34 meV per atom
ΔE_f (raw): 0.40 eV per atom

POSCAR file:
```
HgOsSe
1.0
-1.510 1.510 6.698
1.510 -1.510 6.698
1.510 1.510 -6.698
Hg Os Se
1 1 1
Cartesian
0.000 0.000 0.000
0.000 0.000 8.959
0.000 0.000 3.563
```

(14)
DFT (PBE) results for an optimized crystal structure of Tl17ZnCd11.

POSCAR file:
```
Tl17ZnCd11
1.0
5.851 -8.308 0.000
5.851 8.308 0.000
-5.836 0.000 8.260
Tl Zn Cd
17 1 11
Cartesian
0.000 0.000 0.000
-1.636 3.270 5.630
-3.702 0.000 5.343
1.716 2.619 5.033
4.174 3.290 2.649
-0.318 0.000 5.954
2.048 0.000 2.925
6.307 2.398 0.026
-1.636 -3.270 5.630
5.418 0.000 2.381
1.716 -2.619 5.033
3.795 2.932 8.253
7.507 2.642 3.294
6.307 -2.398 0.026
4.174 -3.290 2.649
3.795 -2.932 8.253
7.507 -2.642 3.294
2.723 0.000 6.711
1.035 3.015 1.568
4.743 6.796 3.003
1.078 5.282 6.742
3.224 1.492 0.017
1.035 -3.015 1.568
3.224 -1.492 0.017
4.792 1.517 5.300
8.467 0.000 1.283
1.078 -5.282 6.742
4.792 -1.517 5.300
4.743 -6.796 3.003
```

(15)
DFT (PBE) results for an optimized crystal structure of ZnPRu2.

Properties
energy above the most stable polymorph in this dataset: 255 meV per atom

POSCAR file:
```
ZnPRu2
1.0
1.466 -2.464 0.000
1.466 2.464 0.000
0.000 0.000 7.898
Zn P Ru
1 1 2
Cartesian
0.000 0.000 0.000
0.000 0.000 3.949
1.466 0.000 2.214
1.466 0.000 5.684
```

(16)
DFT (PBE) results for an optimized crystal structure of La2Zn5Cu5.

POSCAR file:
```
La2Zn5Cu5
1.0
4.214 0.000 0.000
0.000 5.330 0.000
0.000 0.000 9.169
La Zn Cu
2 5 5
Cartesian
0.000 0.000 0.000
0.000 2.665 4.584
2.107 0.000 4.584
2.107 1.343 2.252
2.107 1.343 6.917
2.107 3.987 2.252
2.107 3.987 6.917
0.000 0.000 3.049
0.000 0.000 6.120
0.000 2.665 1.482
0.000 2.665 7.687
2.107 2.665 0.000
```

(17)
DFT (PBE) results for an optimized crystal structure of Np3Tl4CdTe8.

Properties
ΔE_f (raw): -0.49 eV per atom

POSCAR file:
```
Np3Tl4CdTe8
1.0
4.473 2.582 8.137
-4.473 2.582 8.137
0.000 -5.165 8.137
Np Tl Cd Te
3 4 1 8
Cartesian
-2.236 -1.291 8.137
-2.236 1.291 16.274
0.000 2.582 8.137
-4.473 0.000 12.205
-2.236 1.291 4.068
2.236 1.291 4.068
0.000 0.000 12.205
0.000 0.000 0.000
0.000 -2.583 9.861
-2.237 1.291 9.861
0.000 0.000 6.395
-2.237 -1.291 14.550
2.237 1.291 9.861
0.000 0.000 18.016
2.237 -1.291 14.550
0.000 2.583 14.550
```

(18)
DFT (PBE) results for an optimized crystal structure of HW3S.

Properties
energy above the most stable polymorph in this dataset: 0 meV per atom

POSCAR file:
```
HW3S
1.0
4.034 0.000 0.000
0.000 4.034 0.000
0.000 0.000 4.034
H W S
1 3 1
Cartesian
0.000 0.000 0.000
0.000 0.000 2.017
0.000 2.017 0.000
2.017 0.000 0.000
2.017 2.017 2.017
```

(19)
DFT (PBE) results for an optimized crystal structure of ReSi2Pb.

Properties
ΔE_f (raw): 0.42 eV per atom

POSCAR file:
```
ReSi2Pb
1.0
4.345 0.000 0.000
0.000 1.747 4.806
0.000 -1.747 4.806
Re Si Pb
1 2 1
Cartesian
0.000 0.000 0.000
0.000 0.000 6.608
2.172 0.000 1.129
2.172 0.000 3.697
```

(20)
DFT (PBE) results for an optimized crystal structure of GaPdPt.

Properties
energy above the most stable polymorph in this dataset: 95 meV per atom

POSCAR file:
```
GaPdPt
1.0
3.828 0.000 0.000
0.000 3.828 0.000
0.000 0.000 6.586
Ga Pd Pt
2 2 2
Cartesian
0.957 0.957 1.551
2.871 2.871 5.036
0.957 0.957 5.685
2.871 2.871 0.901
0.957 2.871 3.293
2.871 0.957 3.293
```

Number 1: E_tot -37.29 eV/cell. Number 2: E_tot -30.47 eV/cell. Number 3: E_tot -56.97 eV/cell. Number 4: E_tot -48.39 eV/cell. Number 5: E_tot -65.52 eV/cell. Number 6: E_tot -19.45 eV/cell. Number 7: E_tot -22.24 eV/cell. Number 8: E_tot -30.44 eV/cell. Number 9: E_tot -47.14 eV/cell. Number 10: E_tot -71.63 eV/cell. Number 11: E_tot -16.36 eV/cell. Number 12: E_tot -121.33 eV/cell. Number 13: E_tot -13.81 eV/cell. Number 14: E_tot -50.65 eV/cell. Number 15: E_tot -25.25 eV/cell. Number 16: E_tot -40.05 eV/cell. Number 17: E_tot -82.23 eV/cell. Number 18: E_tot -41.94 eV/cell. Number 19: E_tot -25.34 eV/cell. Number 20: E_tot -31.67 eV/cell.